Density functional theory data (PBE) for a geometry-optimized TbPrCuHg structure.

Cell: 7.3946 7.3946 7.3946 Å, 90.00 90.00 90.00°
Closest atoms and distances in Å follow each position.
Sites, in units of the cell vectors:
Tb (0.0000, 0.0000, 0.0000)  4 Hg 3.20, 4 Cu 3.20
Tb (0.0000, 0.5000, 0.5000)  4 Hg 3.20, 4 Cu 3.20
Tb (0.5000, 0.0000, 0.5000)  4 Hg 3.20, 4 Cu 3.20
Tb (0.5000, 0.5000, 0.0000)  4 Hg 3.20, 4 Cu 3.20
Pr (0.0000, 0.0000, 0.5000)  4 Hg 3.20, 4 Cu 3.20
Pr (0.0000, 0.5000, 0.0000)  4 Hg 3.20, 4 Cu 3.20
Pr (0.5000, 0.0000, 0.0000)  4 Hg 3.20, 4 Cu 3.20
Pr (0.5000, 0.5000, 0.5000)  4 Hg 3.20, 4 Cu 3.20
Cu (0.2500, 0.2500, 0.7500)  4 Tb 3.20, 4 Pr 3.20
Cu (0.2500, 0.7500, 0.2500)  4 Tb 3.20, 4 Pr 3.20
Cu (0.7500, 0.2500, 0.2500)  4 Tb 3.20, 4 Pr 3.20
Cu (0.7500, 0.7500, 0.7500)  4 Tb 3.20, 4 Pr 3.20
Hg (0.2500, 0.2500, 0.2500)  4 Tb 3.20, 4 Pr 3.20
Hg (0.2500, 0.7500, 0.7500)  4 Tb 3.20, 4 Pr 3.20
Hg (0.7500, 0.2500, 0.7500)  4 Tb 3.20, 4 Pr 3.20
Hg (0.7500, 0.7500, 0.2500)  4 Tb 3.20, 4 Pr 3.20

- ΔH_f (0 K): -111 kJ/mol of formula units
- Space group: F-43m

=====

Density functional theory data (PBE) for a geometry-optimized PuThN3 structure.

Cell: 7.6089 5.7101 7.5342 Å, 90.00 109.98 90.00°
Closest atoms and distances in Å follow each position.
Sites, in units of the cell vectors:
Pu (0.0999, 0.2428, 0.1253)  5 N 2.15-2.23
Pu (0.0999, 0.2572, 0.6253)  5 N 2.15-2.23
Pu (0.9001, 0.7428, 0.3747)  5 N 2.15-2.23
Pu (0.9001, 0.7572, 0.8747)  5 N 2.15-2.23
Th (0.3647, 0.7232, 0.8439)  5 N 2.34-2.54
Th (0.3647, 0.7768, 0.3439)  5 N 2.34-2.54
Th (0.6353, 0.2232, 0.6561)  5 N 2.34-2.54
Th (0.6353, 0.2768, 0.1561)  5 N 2.34-2.54
N (0.0817, 0.0473, 0.3710)  3 Pu 2.21-2.23
N (0.0817, 0.4527, 0.8710)  3 Pu 2.21-2.23
N (0.1742, 0.5790, 0.5192)  2 Pu 2.15-2.20
N (0.1742, 0.9210, 0.0192)  2 Pu 2.15-2.20
N (0.4433, 0.1866, 0.3395)  3 Th 2.34-2.42, 1 Pu 2.58
N (0.4433, 0.3134, 0.8395)  3 Th 2.34-2.42, 1 Pu 2.58
N (0.5567, 0.6866, 0.1605)  3 Th 2.34-2.42, 1 Pu 2.58
N (0.5567, 0.8134, 0.6605)  3 Th 2.34-2.42, 1 Pu 2.58
N (0.8258, 0.0790, 0.9808)  2 Pu 2.15-2.20
N (0.8258, 0.4210, 0.4808)  2 Pu 2.15-2.20
N (0.9183, 0.5473, 0.1290)  3 Pu 2.21-2.23
N (0.9183, 0.9527, 0.6290)  3 Pu 2.21-2.23

- Space group: P2_1/c
- E_form (uncorrected): -1185 meV/atom

=====

Density functional theory data (PBE) for a geometry-optimized Tl2RuSe structure.

Cell: 7.0873 7.0873 7.0873 Å, 90.00 90.00 90.00°
Closest atoms and distances in Å follow each position.
Sites, in units of the cell vectors:
Tl (0.0000, 0.0000, 0.0000)  4 Se 3.07, 4 Tl 3.07
Tl (0.0000, 0.5000, 0.5000)  4 Se 3.07, 4 Tl 3.07
Tl (0.2500, 0.2500, 0.2500)  4 Tl 3.07, 4 Ru 3.07
Tl (0.2500, 0.7500, 0.7500)  4 Tl 3.07, 4 Ru 3.07
Tl (0.5000, 0.0000, 0.5000)  4 Se 3.07, 4 Tl 3.07
Tl (0.5000, 0.5000, 0.0000)  4 Se 3.07, 4 Tl 3.07
Tl (0.7500, 0.2500, 0.7500)  4 Tl 3.07, 4 Ru 3.07
Tl (0.7500, 0.7500, 0.2500)  4 Tl 3.07, 4 Ru 3.07
Ru (0.0000, 0.0000, 0.5000)  4 Tl 3.07, 4 Se 3.07
Ru (0.0000, 0.5000, 0.0000)  4 Tl 3.07, 4 Se 3.07
Ru (0.5000, 0.0000, 0.0000)  4 Tl 3.07, 4 Se 3.07
Ru (0.5000, 0.5000, 0.5000)  4 Tl 3.07, 4 Se 3.07
Se (0.2500, 0.2500, 0.7500)  4 Tl 3.07, 4 Ru 3.07
Se (0.2500, 0.7500, 0.2500)  4 Tl 3.07, 4 Ru 3.07
Se (0.7500, 0.2500, 0.2500)  4 Tl 3.07, 4 Ru 3.07
Se (0.7500, 0.7500, 0.7500)  4 Tl 3.07, 4 Ru 3.07

- Space group: F-43m
- E_form (uncorrected): 609 meV/atom
- Offset from the most stable computed form: 0.535 eV per atom

=====

Density functional theory data (PBE) for a geometry-optimized Ag9O2F14 structure.

Cell: 6.4708 6.4708 10.0890 Å, 90.00 90.00 120.00°
Closest atoms and distances in Å follow each position.
Sites, in units of the cell vectors:
Ag (0.0000, 0.0000, 0.0000)  6 F 2.36
Ag (0.0259, 0.3530, 0.3327)  1 O 2.11, 3 F 2.13-2.30
Ag (0.3271, 0.9741, 0.3327)  1 O 2.11, 3 F 2.13-2.30
Ag (0.3333, 0.6667, 0.0311)  6 F 2.33-2.39, 1 O 2.40
Ag (0.3530, 0.3271, 0.6673)  1 O 2.11, 3 F 2.13-2.30
Ag (0.6470, 0.6729, 0.3327)  1 O 2.11, 3 F 2.13-2.30
Ag (0.6667, 0.3333, 0.9689)  6 F 2.33-2.39, 1 O 2.40
Ag (0.6729, 0.0259, 0.6673)  1 O 2.11, 3 F 2.13-2.30
Ag (0.9741, 0.6470, 0.6673)  1 O 2.11, 3 F 2.13-2.30
O (0.3333, 0.6667, 0.2688)  3 Ag 2.11
O (0.6667, 0.3333, 0.7312)  3 Ag 2.11
F (0.0000, 0.0000, 0.2675)  3 Ag 2.30
F (0.0000, 0.0000, 0.7325)  3 Ag 2.30
F (0.0338, 0.6810, 0.9106)  4 Ag 2.33-2.48
F (0.0793, 0.3903, 0.5965)  2 Ag 2.13-2.20
F (0.3110, 0.9207, 0.5965)  2 Ag 2.13-2.20
F (0.3190, 0.3529, 0.9106)  4 Ag 2.33-2.48
F (0.3529, 0.0338, 0.0894)  4 Ag 2.33-2.48
F (0.3903, 0.3110, 0.4035)  2 Ag 2.13-2.20
F (0.6097, 0.6890, 0.5965)  2 Ag 2.13-2.20
F (0.6471, 0.9662, 0.9106)  4 Ag 2.33-2.48
F (0.6810, 0.6471, 0.0894)  4 Ag 2.33-2.48
F (0.6890, 0.0793, 0.4035)  2 Ag 2.13-2.20
F (0.9207, 0.6097, 0.4035)  2 Ag 2.13-2.20
F (0.9662, 0.3190, 0.0894)  4 Ag 2.33-2.48

- Space group: P-3
- E_form (uncorrected): -926 meV/atom

=====

Density functional theory data (PBE) for a geometry-optimized SrMg2Re structure.

Cell: 3.0474 5.3897 11.1393 Å, 90.00 90.00 90.00°
Closest atoms and distances in Å follow each position.
Sites, in units of the cell vectors:
Sr (0.0000, 0.0000, 0.0000)  2 Sr 3.05, 2 Re 3.08, 4 Mg 3.17
Sr (0.5000, 0.5000, 0.5000)  2 Sr 3.05, 2 Re 3.08, 4 Mg 3.17
Mg (0.0000, 0.0000, 0.5603)  2 Re 2.69
Mg (0.0000, 0.5000, 0.7914)  4 Mg 3.05-3.36, 4 Re 3.12
Mg (0.5000, 0.0000, 0.2914)  4 Mg 3.05-3.36, 4 Re 3.12
Mg (0.5000, 0.5000, 0.0603)  2 Re 2.69
Re (0.0000, 0.5000, 0.2594)  2 Mg 2.69
Re (0.5000, 0.0000, 0.7594)  2 Mg 2.69

- ΔH_f (0 K): 262 kJ/mol of formula units
- Space group: Imm2
- Offset from the most stable computed form: 0.151 eV per atom

=====

Density functional theory data (PBE) for a geometry-optimized P2H7S2 structure.

Cell: 4.8173 5.9030 13.2601 Å, 94.39 90.69 106.96°
Closest atoms and distances in Å follow each position.
Sites, in units of the cell vectors:
P (0.0183, 0.0158, 0.2377)  2 H 1.43
P (0.0205, 0.5922, 0.2392)  2 H 1.42-1.43
P (0.9795, 0.4078, 0.7608)  2 H 1.42-1.43
P (0.9817, 0.9842, 0.7623)  2 H 1.43
H (0.0161, 0.0028, 0.8698)  1 P 1.43
H (0.0219, 0.3065, 0.2384)  2 P 1.69-1.71
H (0.0962, 0.6264, 0.3449)  1 P 1.43
H (0.2560, 0.0170, 0.5975)  1 S 1.36
H (0.2795, 0.6360, 0.0733)  1 S 1.37
H (0.2844, 0.4860, 0.7476)  1 P 1.42
H (0.3277, 0.0960, 0.2392)  1 P 1.43
H (0.6723, 0.9040, 0.7608)  1 P 1.43
H (0.7156, 0.5140, 0.2524)  1 P 1.42
H (0.7205, 0.3640, 0.9267)  1 S 1.37
H (0.7440, 0.9830, 0.4025)  1 S 1.36
H (0.9038, 0.3736, 0.6551)  1 P 1.43
H (0.9781, 0.6935, 0.7616)  2 P 1.69-1.71
H (0.9839, 0.9972, 0.1302)  1 P 1.43
S (0.3140, 0.0641, 0.4999)  1 H 1.36
S (0.4514, 0.6606, 0.9913)  1 H 1.37
S (0.5486, 0.3394, 0.0087)  1 H 1.37
S (0.6860, 0.9359, 0.5001)  1 H 1.36

- Space group: P-1
- DFT total energy: -3.839 eV per atom

=====

Density functional theory data (PBE) for a geometry-optimized Al2Rh structure.

Cell: 5.3566 2.9003 11.4293 Å, 90.00 90.00 90.00°
Closest atoms and distances in Å follow each position.
Sites, in units of the cell vectors:
Al (0.0948, 0.2500, 0.2458)  4 Rh 2.57-2.64, 2 Al 2.68
Al (0.1739, 0.2500, 0.9351)  4 Rh 2.56-2.81, 2 Al 2.79
Al (0.3261, 0.7500, 0.4351)  4 Rh 2.56-2.81, 2 Al 2.79
Al (0.4052, 0.7500, 0.7458)  4 Rh 2.57-2.64, 2 Al 2.68
Al (0.5948, 0.2500, 0.2542)  4 Rh 2.57-2.64, 2 Al 2.68
Al (0.6739, 0.2500, 0.5649)  4 Rh 2.56-2.81, 2 Al 2.79
Al (0.8261, 0.7500, 0.0649)  4 Rh 2.56-2.81, 2 Al 2.79
Al (0.9052, 0.7500, 0.7542)  4 Rh 2.57-2.64, 2 Al 2.68
Rh (0.1560, 0.2500, 0.6016)  8 Al 2.56-2.81
Rh (0.3440, 0.7500, 0.1016)  8 Al 2.56-2.81
Rh (0.6560, 0.2500, 0.8984)  8 Al 2.56-2.81
Rh (0.8440, 0.7500, 0.3984)  8 Al 2.56-2.81

- ΔH_f (0 K): -189 kJ/mol of formula units
- Space group: Pnma

=====

Density functional theory data (PBE) for a geometry-optimized InSb2Os structure.

Cell: 3.2017 4.6215 12.6800 Å, 90.00 90.00 90.00°
Closest atoms and distances in Å follow each position.
Sites, in units of the cell vectors:
In (0.0000, 0.0000, 0.0000)  4 Os 2.81
In (0.5000, 0.5000, 0.5000)  4 Os 2.81
Sb (0.0000, 0.5000, 0.1782)  2 Os 2.77
Sb (0.0000, 0.5000, 0.8218)  2 Os 2.77
Sb (0.5000, 0.0000, 0.3218)  2 Os 2.77
Sb (0.5000, 0.0000, 0.6782)  2 Os 2.77
Os (0.0000, 0.0000, 0.5000)  4 Sb 2.77, 4 In 2.81
Os (0.5000, 0.5000, 0.0000)  4 Sb 2.77, 4 In 2.81

- Space group: Immm
- E_form (uncorrected): 230 meV/atom

=====

Density functional theory data (PBE) for a geometry-optimized Sm2Ga5Pd structure.

Cell: 6.2104 6.2104 8.6909 Å, 90.00 90.00 90.00°
Closest atoms and distances in Å follow each position.
Sites, in units of the cell vectors:
Sm (0.0000, 0.5000, 0.0000)  10 Ga 3.10-3.11
Sm (0.0000, 0.5000, 0.5000)  10 Ga 3.10-3.11
Sm (0.5000, 0.0000, 0.0000)  10 Ga 3.10-3.11
Sm (0.5000, 0.0000, 0.5000)  10 Ga 3.10-3.11
Ga (0.0000, 0.0000, 0.0086)  1 Pd 2.55, 4 Ga 2.80
Ga (0.2125, 0.2125, 0.2493)  1 Pd 2.54, 3 Ga 2.64-2.80
Ga (0.2125, 0.7875, 0.2493)  1 Pd 2.54, 3 Ga 2.64-2.80
Ga (0.2875, 0.2875, 0.7493)  1 Pd 2.54, 3 Ga 2.64-2.80
Ga (0.2875, 0.7125, 0.7493)  1 Pd 2.54, 3 Ga 2.64-2.80
Ga (0.5000, 0.5000, 0.5086)  1 Pd 2.55, 4 Ga 2.80
Ga (0.7125, 0.2875, 0.7493)  1 Pd 2.54, 3 Ga 2.64-2.80
Ga (0.7125, 0.7125, 0.7493)  1 Pd 2.54, 3 Ga 2.64-2.80
Ga (0.7875, 0.2125, 0.2493)  1 Pd 2.54, 3 Ga 2.64-2.80
Ga (0.7875, 0.7875, 0.2493)  1 Pd 2.54, 3 Ga 2.64-2.80
Pd (0.0000, 0.0000, 0.7149)  5 Ga 2.54-2.55
Pd (0.5000, 0.5000, 0.2149)  5 Ga 2.54-2.55

- ΔH_f (0 K): -433 kJ/mol of formula units
- Space group: I4mm

=====

Density functional theory data (PBE) for a geometry-optimized ThNbBi structure.

Cell: 5.0453 5.0453 3.6535 Å, 90.00 90.00 120.00°
Closest atoms and distances in Å follow each position.
Sites, in units of the cell vectors:
Th (0.0000, 0.0000, 0.0000)  6 Bi 3.44, 6 Nb 3.44, 2 Th 3.65
Nb (0.3333, 0.6667, 0.5000)  3 Bi 2.91
Bi (0.6667, 0.3333, 0.5000)  3 Nb 2.91

- ΔH_f (0 K): 50 kJ/mol of formula units
- Space group: P-6m2
- Offset from the most stable computed form: 0.205 eV per atom

=====

Density functional theory data (PBE) for a geometry-optimized B5C7 structure.

Cell: 4.5631 4.5631 7.7090 Å, 112.83 112.83 33.24°
Closest atoms and distances in Å follow each position.
Sites, in units of the cell vectors:
B (0.0000, 0.0000, 0.0000)  3 C 1.57-1.60
B (0.0530, 0.0530, 0.5622)  1 C 1.57
B (0.2336, 0.2336, 0.2944)  3 C 1.55-1.57
B (0.5147, 0.5147, 0.3899)  2 C 1.63-1.65, 2 B 1.79
B (0.8444, 0.8444, 0.5875)  3 C 1.60-1.63
C (0.2036, 0.2036, 0.7618)  1 B 1.57, 3 C 1.59-1.60
C (0.3514, 0.3514, 0.1850)  2 C 1.56, 2 B 1.57-1.65
C (0.3696, 0.3696, 0.7220)  2 C 1.57-1.60, 2 B 1.63
C (0.5338, 0.5338, 0.9084)  2 C 1.55-1.57, 2 B 1.57
C (0.6975, 0.6975, 0.3800)  4 B 1.55-1.63
C (0.6970, 0.6970, 0.8755)  4 C 1.55-1.59
C (0.8540, 0.8540, 0.0744)  3 C 1.56-1.59, 1 B 1.60

- ΔH_f (0 K): 424 kJ/mol of formula units
- Space group: Cm
- Offset from the most stable computed form: 0.108 eV per atom

=====

Density functional theory data (PBE) for a geometry-optimized Pm2AlGa6Ag structure.

Cell: 12.7051 12.7051 12.7051 Å, 29.34 29.34 29.34°
Closest atoms and distances in Å follow each position.
Sites, in units of the cell vectors:
Pm (0.1096, 0.1096, 0.1096)  9 Ga 3.31-3.33
Pm (0.2955, 0.2955, 0.2955)  9 Ga 3.23-3.25
Pm (0.7045, 0.7045, 0.7045)  9 Ga 3.23-3.25
Pm (0.8904, 0.8904, 0.8904)  9 Ga 3.31-3.33
Al (0.0000, 0.0000, 0.0000)  6 Ga 2.56
Al (0.5000, 0.5000, 0.5000)  2 Ag 2.54, 6 Ga 2.64
Ga (0.0541, 0.6679, 0.6679)  2 Ga 2.49, 1 Ag 2.58, 1 Al 2.64
Ga (0.2292, 0.2292, 0.6609)  1 Al 2.56, 1 Ag 2.63, 2 Ga 2.78
Ga (0.2292, 0.6609, 0.2292)  1 Al 2.56, 1 Ag 2.63, 2 Ga 2.78
Ga (0.3321, 0.3321, 0.9459)  2 Ga 2.49, 1 Ag 2.58, 1 Al 2.64
Ga (0.3321, 0.9459, 0.3321)  2 Ga 2.49, 1 Ag 2.58, 1 Al 2.64
Ga (0.3391, 0.7708, 0.7708)  1 Al 2.56, 1 Ag 2.63, 2 Ga 2.78
Ga (0.6609, 0.2292, 0.2292)  1 Al 2.56, 1 Ag 2.63, 2 Ga 2.78
Ga (0.6679, 0.0541, 0.6679)  2 Ga 2.49, 1 Ag 2.58, 1 Al 2.64
Ga (0.6679, 0.6679, 0.0541)  2 Ga 2.49, 1 Ag 2.58, 1 Al 2.64
Ga (0.7708, 0.3391, 0.7708)  1 Al 2.56, 1 Ag 2.63, 2 Ga 2.78
Ga (0.7708, 0.7708, 0.3391)  1 Al 2.56, 1 Ag 2.63, 2 Ga 2.78
Ga (0.9459, 0.3321, 0.3321)  2 Ga 2.49, 1 Ag 2.58, 1 Al 2.64
Ag (0.4302, 0.4302, 0.4302)  1 Al 2.54, 6 Ga 2.58-2.63
Ag (0.5698, 0.5698, 0.5698)  1 Al 2.54, 6 Ga 2.58-2.63

- ΔH_f (0 K): -203 kJ/mol of formula units
- Space group: R-3m